1.
Entry from Alexandria via LeMat-Bulk: TmCd6Hg2 after structural relaxation (PBE).

Unit cell a=14.114 b=4.335 c=7.285 alpha=90.00 beta=109.81 gamma=90.00
Space group C2/m (No. 12)
Asymmetric unit:
1 Tm 0.000 0.000 0.000 (multiplicity 2)
2 Cd 0.107 0.000 0.654 (multiplicity 4)
3 Cd 0.173 0.500 0.996 (multiplicity 4)
4 Cd 0.228 0.000 0.336 (multiplicity 4)
5 Hg 0.059 0.500 0.321 (multiplicity 4)

Computed properties:
Calculated formation energy in eV/atom: -0.11
Fermi-level density of states in states/eV per atom: 0.433
Crystal system: monoclinic
Total energy in eV per atom: -1.280

---

2.
Entry from Alexandria via LeMat-Bulk: Li4Zn2Cu after structural relaxation (PBE).

Unit cell a=5.460 b=7.764 c=5.052 alpha=90.00 beta=90.00 gamma=90.00
Space group Imm2 (No. 44)
Asymmetric unit:
1 Li 0.227 0.204 0.000 (multiplicity 8)
2 Zn 0.000 0.000 0.548 (multiplicity 2)
3 Zn 0.000 0.500 0.773 (multiplicity 2)
4 Cu 0.000 0.500 0.243 (multiplicity 2)

Computed properties:
Calculated formation energy in eV/atom: -0.05
Fermi-level density of states in states/eV per atom: 0.381
Crystal system: orthorhombic
Total energy in eV per atom: -2.091

---

Copy entry 2 word for word.
Entry from Alexandria via LeMat-Bulk: Li4Zn2Cu after structural relaxation (PBE).

Unit cell a=5.460 b=7.764 c=5.052 alpha=90.00 beta=90.00 gamma=90.00
Space group Imm2 (No. 44)
Asymmetric unit:
1 Li 0.227 0.204 0.000 (multiplicity 8)
2 Zn 0.000 0.000 0.548 (multiplicity 2)
3 Zn 0.000 0.500 0.773 (multiplicity 2)
4 Cu 0.000 0.500 0.243 (multiplicity 2)

Computed properties:
Calculated formation energy in eV/atom: -0.05
Fermi-level density of states in states/eV per atom: 0.381
Crystal system: orthorhombic
Total energy in eV per atom: -2.091